No. 1
Below is crystalline KTlH3 at its relaxed geometry, with properties calculated at the PBE level.

Computed properties:
DOS(E_F) = 0.582 states/eV per cell
magnetization = 0.0 μB/cell
relative energy among the computed polymorphs = 0.00 kJ/mol of atoms
space group = Pm-3m

abc: 4.2934 4.2934 4.2934
angles: 90.00 90.00 90.00
Positions (direct):
K 0.0000 0.0000 0.0000
Tl 0.5000 0.5000 0.5000
H 0.0000 0.5000 0.5000
H 0.5000 0.0000 0.5000
H 0.5000 0.5000 0.0000


No. 2
Below is crystalline BaMn2Pt at its relaxed geometry, with properties calculated at the PBE level.

Computed properties:
DOS(E_F) = 3.781 states/eV per cell
magnetization = 8.8 μB/cell
space group = P2/m
calculated formation energy = 0.271 eV/atom

abc: 4.9778 4.4567 5.1893
angles: 90.00 106.77 90.00
Positions (direct):
Ba 0.0000 0.0000 0.0000
Mn 0.3170 0.5000 0.6436
Mn 0.6830 0.5000 0.3564
Pt 0.5000 0.0000 0.5000


No. 3
Below is crystalline AcTb2Pm5Er at its relaxed geometry, with properties calculated at the PBE level.

Computed properties:
DOS(E_F) = 22.608 states/eV per cell
magnetization = 0.0 μB/cell
space group = Cmc2_1
calculated formation energy = 0.143 eV/atom

abc: 12.5213 12.5213 9.4526
angles: 90.00 90.00 154.33
Positions (direct):
Ac 0.1020 0.8980 0.5000
Ac 0.8980 0.1020 0.0000
Tb 0.3268 0.6732 0.7517
Tb 0.3875 0.6125 0.3525
Tb 0.6125 0.3875 0.8525
Tb 0.6732 0.3268 0.2517
Pm 0.0242 0.9758 0.8252
Pm 0.1060 0.8940 0.1030
Pm 0.1910 0.8090 0.7952
Pm 0.2419 0.7581 0.4367
Pm 0.4900 0.5100 0.6050
Pm 0.5100 0.4900 0.1050
Pm 0.7581 0.2419 0.9367
Pm 0.8090 0.1910 0.2952
Pm 0.8940 0.1060 0.6030
Pm 0.9758 0.0242 0.3252
Er 0.2613 0.7387 0.1093
Er 0.7387 0.2613 0.6093


No. 4
Below is crystalline PmPr3Sm12 at its relaxed geometry, with properties calculated at the PBE level.

Computed properties:
DOS(E_F) = 23.745 states/eV per cell
magnetization = 0.0 μB/cell
space group = P4/mmm
calculated formation energy = 0.014 eV/atom

abc: 5.1556 5.1556 20.5932
angles: 90.00 90.00 90.00
Positions (direct):
Pm 0.0000 0.0000 0.0000
Pr 0.0000 0.0000 0.2494
Pr 0.0000 0.0000 0.5000
Pr 0.0000 0.0000 0.7506
Sm 0.0000 0.5000 0.1241
Sm 0.0000 0.5000 0.3747
Sm 0.0000 0.5000 0.6253
Sm 0.0000 0.5000 0.8759
Sm 0.5000 0.0000 0.1241
Sm 0.5000 0.0000 0.3747
Sm 0.5000 0.0000 0.6253
Sm 0.5000 0.0000 0.8759
Sm 0.5000 0.5000 0.0000
Sm 0.5000 0.5000 0.2493
Sm 0.5000 0.5000 0.5000
Sm 0.5000 0.5000 0.7507